(1)
First-principles (PBE) data for a relaxed LaSm4Y2 crystal, as listed in Alexandria.

## Properties
Fermi-level density of states	25.3	states/eV/cell
polymorph energy (0 for the lowest one)	0	meV/atom
calculated volume	34.27	Å³ per atom
total DFT energy (no corrections)	-5.222	eV per atom

Unit cell a=8.6378 b=9.3963 c=6.3883 alpha=90.05 beta=111.70 gamma=94.80
With the nearest neighbours (Å) after each atom.
Fractional coordinates of all 14 atoms:
La1 0.1615 0.9466 0.5611  7 Sm 3.60-3.71, 3 Y 3.64-3.72, 2 La 3.68-3.71
La2 0.0183 0.0910 0.9868  7 Sm 3.61-3.70, 3 Y 3.63-3.74, 2 La 3.68-3.71
Sm1 0.7272 0.8724 0.5099  2 Y 3.56-3.59, 8 Sm 3.57-3.70, 2 La 3.65
Sm2 0.4478 0.6593 0.7033  6 Y 3.55-3.69, 5 Sm 3.57-3.63, 1 La 3.70
Sm3 0.4504 0.1625 0.3708  5 Sm 3.57-3.70, 5 Y 3.57-3.70, 2 La 3.63-3.64
Sm4 0.8737 0.2347 0.4146  5 Sm 3.57-3.66, 4 Y 3.64-3.70, 3 La 3.70-3.71
Sm5 0.0157 0.5869 0.6540  7 Sm 3.57-3.70, 4 Y 3.59-3.67, 1 La 3.63
Sm6 0.8726 0.7292 0.0814  3 Y 3.56-3.64, 7 Sm 3.57-3.70, 2 La 3.64-3.65
Sm7 0.1624 0.4481 0.2277  5 Y 3.56-3.69, 6 Sm 3.59-3.70, 1 La 3.61
Sm8 0.5891 0.0187 0.9437  7 Sm 3.59-3.70, 3 Y 3.60-3.69, 2 La 3.60-3.62
Y1 0.5885 0.5167 0.2738  4 Y 3.57-3.67, 8 Sm 3.57-3.68
Y2 0.3072 0.3077 0.7986  8 Sm 3.55-3.70, 2 Y 3.56-3.57, 2 La 3.63-3.64
Y3 0.7298 0.3769 0.8443  3 Y 3.56-3.67, 8 Sm 3.56-3.70, 1 La 3.70
Y4 0.3058 0.7993 0.1300  8 Sm 3.56-3.69, 1 Y 3.65, 3 La 3.69-3.74

(2)
First-principles (PBE) data for a relaxed La6Sm2Y crystal, as listed in Alexandria.

## Properties
Fermi-level density of states	17.5	states/eV/cell
polymorph energy (0 for the lowest one)	0	meV/atom
calculated volume	36.08	Å³ per atom
total DFT energy (no corrections)	-4.996	eV per atom

Unit cell a=3.6794 b=3.6794 c=27.6958 alpha=90.00 beta=90.00 gamma=120.00
With the nearest neighbours (Å) after each atom.
Fractional coordinates of all 9 atoms:
La1 0.6667 0.3333 0.8935  3 Y 3.63, 9 La 3.68-3.81
La2 0.3333 0.6667 0.4367  7 La 3.51-3.68, 3 Sm 3.63
La3 0.3333 0.6667 0.7795  9 La 3.68-3.81, 3 Sm 3.71
La4 0.3333 0.6667 0.2205  9 La 3.68-3.81, 3 Sm 3.71
La5 0.3333 0.6667 0.5633  7 La 3.51-3.68, 3 Sm 3.63
La6 0.6667 0.3333 0.1065  3 Y 3.63, 9 La 3.68-3.81
Sm1 0.6667 0.3333 0.3303  6 La 3.63-3.71, 6 Sm 3.68
Sm2 0.6667 0.3333 0.6697  6 La 3.63-3.71, 6 Sm 3.68
Y1 0.3333 0.6667 0.0000  6 La 3.63, 6 Y 3.68

(3)
First-principles (PBE) data for a relaxed La5SmY4 crystal, as listed in Alexandria.

## Properties
Fermi-level density of states	17.0	states/eV/cell
calculated volume	34.86	Å³ per atom
total DFT energy (no corrections)	-5.500	eV per atom

Unit cell a=3.7089 b=3.7089 c=25.3448 alpha=90.00 beta=90.00 gamma=90.00
With the nearest neighbours (Å) after each atom.
Fractional coordinates of all 10 atoms:
La1 0.5000 0.5000 0.1007  4 Y 3.65, 4 Sm 3.66, 4 La 3.71
La2 0.5000 0.5000 0.3005  8 Y 3.64, 4 La 3.71
La3 0.5000 0.5000 0.5000  8 Y 3.64, 4 La 3.71
La4 0.5000 0.5000 0.6995  8 Y 3.64, 4 La 3.71
La5 0.5000 0.5000 0.8993  4 Y 3.65, 4 Sm 3.66, 4 La 3.71
Sm1 0.0000 0.0000 0.0000  8 La 3.66, 4 Sm 3.71
Y1 0.0000 0.0000 0.2009  8 La 3.64-3.65, 4 Y 3.71
Y2 0.0000 0.0000 0.4002  8 La 3.64, 4 Y 3.71
Y3 0.0000 0.0000 0.5998  8 La 3.64, 4 Y 3.71
Y4 0.0000 0.0000 0.7991  8 La 3.64-3.65, 4 Y 3.71

(4)
First-principles (PBE) data for a relaxed LaSm12Y3 crystal, as listed in Alexandria.

## Properties
Fermi-level density of states	24.2	states/eV/cell
calculated volume	33.69	Å³ per atom
total DFT energy (no corrections)	-5.042	eV per atom

Unit cell a=5.1259 b=5.1259 c=20.5148 alpha=90.00 beta=90.00 gamma=90.00
With the nearest neighbours (Å) after each atom.
Fractional coordinates of all 16 atoms:
La1 0.0000 0.0000 0.0000  12 Sm 3.62-3.66
Sm1 0.5000 0.5000 0.0000  4 La 3.62, 8 Sm 3.66
Sm2 0.5000 0.5000 0.2525  8 Sm 3.60-3.63, 4 Y 3.62
Sm3 0.5000 0.5000 0.5000  8 Sm 3.62, 4 Y 3.62
Sm4 0.5000 0.5000 0.7475  8 Sm 3.60-3.63, 4 Y 3.62
Sm5 0.5000 0.0000 0.1272  2 Y 3.61, 8 Sm 3.62-3.66, 2 La 3.66
Sm6 0.5000 0.0000 0.3757  8 Sm 3.60-3.62, 4 Y 3.62
Sm7 0.5000 0.0000 0.6243  8 Sm 3.60-3.62, 4 Y 3.62
Sm8 0.5000 0.0000 0.8728  2 Y 3.61, 8 Sm 3.62-3.66, 2 La 3.66
Sm9 0.0000 0.5000 0.1272  2 Y 3.61, 8 Sm 3.62-3.66, 2 La 3.66
Sm10 0.0000 0.5000 0.3757  8 Sm 3.60-3.62, 4 Y 3.62
Sm11 0.0000 0.5000 0.6243  8 Sm 3.60-3.62, 4 Y 3.62
Sm12 0.0000 0.5000 0.8728  2 Y 3.61, 8 Sm 3.62-3.66, 2 La 3.66
Y1 0.0000 0.0000 0.2512  12 Sm 3.61-3.62
Y2 0.0000 0.0000 0.5000  12 Sm 3.62
Y3 0.0000 0.0000 0.7488  12 Sm 3.61-3.62

(5)
First-principles (PBE) data for a relaxed LaSm12Y7 crystal, as listed in Alexandria.

## Properties
Fermi-level density of states	27.7	states/eV/cell
polymorph energy (0 for the lowest one)	581	meV/atom
calculated volume	38.04	Å³ per atom
total DFT energy (no corrections)	-4.661	eV per atom

Unit cell a=9.9613 b=9.9613 c=9.9613 alpha=109.47 beta=109.47 gamma=109.47
With the nearest neighbours (Å) after each atom.
Fractional coordinates of all 20 atoms:
La1 0.0000 0.0000 0.0000  12 Sm 4.17
Sm1 0.7428 0.7441 0.4868  2 Y 2.88
Sm2 0.7428 0.2559 0.9987  2 Y 2.88
Sm3 0.2572 0.2559 0.5132  2 Y 2.88
Sm4 0.2572 0.7441 0.0013  2 Y 2.88
Sm5 0.0013 0.2572 0.7441  2 Y 2.88
Sm6 0.4868 0.7428 0.7441  2 Y 2.88
Sm7 0.9987 0.7428 0.2559  2 Y 2.88
Sm8 0.5132 0.2572 0.2559  2 Y 2.88
Sm9 0.7441 0.4868 0.7428  2 Y 2.88
Sm10 0.2559 0.5132 0.2572  2 Y 2.88
Sm11 0.2559 0.9987 0.7428  2 Y 2.88
Sm12 0.7441 0.0013 0.2572  2 Y 2.88
Y1 0.5000 0.0000 0.5000  12 Sm 3.96-4.08
Y2 0.5000 0.5000 0.0000  12 Sm 3.96-4.08
Y3 0.0000 0.5000 0.5000  12 Sm 3.96-4.08
Y4 0.5000 0.5000 0.5000  6 Sm 2.88
Y5 0.0000 0.5000 0.0000  6 Sm 2.88
Y6 0.0000 0.0000 0.5000  6 Sm 2.88
Y7 0.5000 0.0000 0.0000  6 Sm 2.88

(6)
First-principles (PBE) data for a relaxed La2Sm2Y crystal, as listed in Alexandria.

## Properties
Fermi-level density of states	18.4	states/eV/cell
polymorph energy (0 for the lowest one)	11	meV/atom
calculated volume	34.85	Å³ per atom
total DFT energy (no corrections)	-5.034	eV per atom

Unit cell a=5.8152 b=3.6205 c=16.9037 alpha=96.15 beta=99.90 gamma=90.00
With the nearest neighbours (Å) after each atom.
Fractional coordinates of all 10 atoms:
La1 0.5420 0.2920 0.0841  8 La 3.32-3.62, 2 Sm 3.49
La2 0.9378 0.1878 0.8756  6 La 3.49-3.62, 2 Sm 3.72
La3 0.4580 0.7080 0.9159  8 La 3.32-3.62, 2 Sm 3.49
La4 0.0622 0.8122 0.1244  6 La 3.49-3.62, 2 Sm 3.72
Sm1 0.7286 0.9786 0.4572  3 Sm 3.19-3.23
Sm2 0.2714 0.0214 0.5428  3 Sm 3.19-3.23
Sm3 0.3677 0.1177 0.7354  1 Sm 3.19, 2 La 3.49
Sm4 0.6323 0.8823 0.2646  1 Sm 3.19, 2 La 3.49
Y1 0.8248 0.5748 0.6496  2 Y 3.62, 10 Sm 3.66-3.85
Y2 0.1752 0.4252 0.3504  2 Y 3.62, 10 Sm 3.66-3.85

(7)
First-principles (PBE) data for a relaxed LaSm2Y6 crystal, as listed in Alexandria.

## Properties
Fermi-level density of states	25.2	states/eV/cell
polymorph energy (0 for the lowest one)	0	meV/atom
calculated volume	33.44	Å³ per atom
total DFT energy (no corrections)	-5.811	eV per atom

Unit cell a=6.6496 b=9.6470 c=9.6470 alpha=95.10 beta=81.62 gamma=81.62
With the nearest neighbours (Å) after each atom.
Fractional coordinates of all 18 atoms:
La1 0.2500 0.1218 0.8782  6 Y 3.26-3.55
La2 0.7500 0.8782 0.1218  6 Y 3.26-3.55
Sm1 0.1304 0.6125 0.6653  3 Sm 3.41-3.62, 7 Y 3.42-3.69
Sm2 0.3696 0.3347 0.3875  3 Sm 3.41-3.62, 7 Y 3.42-3.69
Sm3 0.8696 0.3875 0.3347  3 Sm 3.41-3.62, 7 Y 3.42-3.69
Sm4 0.6304 0.6653 0.6125  3 Sm 3.41-3.62, 7 Y 3.42-3.69
Y1 0.5002 0.6533 0.2786  5 Y 3.25-3.62, 1 La 3.26, 3 Sm 3.42-3.52
Y2 0.9998 0.7214 0.3467  5 Y 3.25-3.62, 1 La 3.26, 3 Sm 3.42-3.52
Y3 0.4998 0.3467 0.7214  5 Y 3.25-3.62, 1 La 3.26, 3 Sm 3.42-3.52
Y4 0.0002 0.2786 0.6533  5 Y 3.25-3.62, 1 La 3.26, 3 Sm 3.42-3.52
Y5 0.7315 0.0590 0.4610  7 Y 3.44-3.79, 2 Sm 3.51-3.69, 1 La 3.55
Y6 0.7685 0.5390 0.9410  7 Y 3.44-3.79, 2 Sm 3.51-3.69, 1 La 3.55
Y7 0.2685 0.9410 0.5390  7 Y 3.44-3.79, 2 Sm 3.51-3.69, 1 La 3.55
Y8 0.2315 0.4610 0.0590  7 Y 3.44-3.79, 2 Sm 3.51-3.69, 1 La 3.55
Y9 0.3180 0.7789 0.9479  2 La 3.41-3.73, 4 Y 3.44-3.81, 2 Sm 3.52-3.57
Y10 0.1820 0.0521 0.2211  2 La 3.41-3.73, 4 Y 3.44-3.81, 2 Sm 3.52-3.57
Y11 0.6820 0.2211 0.0521  2 La 3.41-3.73, 4 Y 3.44-3.81, 2 Sm 3.52-3.57
Y12 0.8180 0.9479 0.7789  2 La 3.41-3.73, 4 Y 3.44-3.81, 2 Sm 3.52-3.57

(8)
First-principles (PBE) data for a relaxed La7Sm6Y16 crystal, as listed in Alexandria.

## Properties
Fermi-level density of states	55.9	states/eV/cell
calculated volume	34.48	Å³ per atom
total DFT energy (no corrections)	-5.537	eV per atom

Unit cell a=11.2238 b=11.2238 c=11.2238 alpha=60.00 beta=60.00 gamma=60.00
With the nearest neighbours (Å) after each atom.
Fractional coordinates of all 29 atoms:
La1 0.0000 0.0000 0.0000  6 Sm 3.57
La2 0.5000 0.0000 0.5000  8 Y 3.27-3.57
La3 0.0000 0.5000 0.0000  8 Y 3.27-3.57
La4 0.0000 0.5000 0.5000  8 Y 3.27-3.57
La5 0.5000 0.0000 0.0000  8 Y 3.27-3.57
La6 0.0000 0.0000 0.5000  8 Y 3.27-3.57
La7 0.5000 0.5000 0.0000  8 Y 3.27-3.57
Sm1 0.2252 0.7748 0.2252  5 La 3.57-3.99, 8 Y 3.58-3.61
Sm2 0.7748 0.2252 0.7748  5 La 3.57-3.99, 8 Y 3.58-3.61
Sm3 0.7748 0.2252 0.2252  5 La 3.57-3.99, 8 Y 3.58-3.61
Sm4 0.2252 0.7748 0.7748  5 La 3.57-3.99, 8 Y 3.58-3.61
Sm5 0.7748 0.7748 0.2252  5 La 3.57-3.99, 8 Y 3.58-3.61
Sm6 0.2252 0.2252 0.7748  5 La 3.57-3.99, 8 Y 3.58-3.61
Y1 0.8495 0.8495 0.4516  3 La 3.27, 3 Sm 3.58
Y2 0.8495 0.8495 0.8495  3 La 3.27, 3 Sm 3.58
Y3 0.8495 0.4516 0.8495  3 La 3.27, 3 Sm 3.58
Y4 0.4516 0.8495 0.8495  3 La 3.27, 3 Sm 3.58
Y5 0.1505 0.1505 0.1505  3 La 3.27, 3 Sm 3.58
Y6 0.1505 0.1505 0.5484  3 La 3.27, 3 Sm 3.58
Y7 0.1505 0.5484 0.1505  3 La 3.27, 3 Sm 3.58
Y8 0.5484 0.1505 0.1505  3 La 3.27, 3 Sm 3.58
Y9 0.6121 0.6121 0.1636  6 Y 3.56-3.86, 3 La 3.57, 3 Sm 3.61
Y10 0.6121 0.6121 0.6121  6 Y 3.56-3.86, 3 La 3.57, 3 Sm 3.61
Y11 0.6121 0.1636 0.6121  6 Y 3.56-3.86, 3 La 3.57, 3 Sm 3.61
Y12 0.1636 0.6121 0.6121  6 Y 3.56-3.86, 3 La 3.57, 3 Sm 3.61
Y13 0.3879 0.3879 0.3879  6 Y 3.56-3.86, 3 La 3.57, 3 Sm 3.61
Y14 0.3879 0.3879 0.8364  6 Y 3.56-3.86, 3 La 3.57, 3 Sm 3.61
Y15 0.3879 0.8364 0.3879  6 Y 3.56-3.86, 3 La 3.57, 3 Sm 3.61
Y16 0.8364 0.3879 0.3879  6 Y 3.56-3.86, 3 La 3.57, 3 Sm 3.61

(9)
First-principles (PBE) data for a relaxed La6Sm4Y crystal, as listed in Alexandria.

## Properties
Fermi-level density of states	18.2	states/eV/cell
polymorph energy (0 for the lowest one)	14	meV/atom
calculated volume	36.43	Å³ per atom
total DFT energy (no corrections)	-4.729	eV per atom

Unit cell a=7.0277 b=7.0277 c=9.5155 alpha=111.67 beta=111.67 gamma=90.00
With the nearest neighbours (Å) after each atom.
Fractional coordinates of all 11 atoms:
La1 0.8731 0.4922 0.3653  3 Sm 3.46-3.73, 1 Y 3.52, 1 La 3.79
La2 0.4922 0.8731 0.3653  3 Sm 3.46-3.73, 1 Y 3.52, 1 La 3.79
La3 0.5078 0.5078 0.6347  3 Sm 3.46-3.73, 1 Y 3.52, 1 La 3.79
La4 0.0000 0.5000 0.0000  4 Sm 3.11
La5 0.1269 0.1269 0.6347  3 Sm 3.46-3.73, 1 Y 3.52, 1 La 3.79
La6 0.5000 0.0000 0.0000  4 Sm 3.11
Sm1 0.0654 0.7258 0.7912  3 La 3.11-3.46, 1 Sm 3.38
Sm2 0.9346 0.9346 0.2088  3 La 3.11-3.46, 1 Sm 3.38
Sm3 0.7258 0.0654 0.7912  3 La 3.11-3.46, 1 Sm 3.38
Sm4 0.2742 0.2742 0.2088  3 La 3.11-3.46, 1 Sm 3.38
Y1 0.5000 0.5000 0.0000  8 La 3.51-3.52, 4 Sm 3.69